*w*
First-principles (PBE) data for Cs2Hg3Pt after structural relaxation, as listed in Alexandria via LeMat-Bulk.

Results
M_tot, μB/atom: 0.000

Unit cell a=8.4564 b=8.4564 c=6.4076 alpha=90.00 beta=90.00 gamma=83.44
Fractional coordinates of all 12 atoms:
Cs 0.0330 0.6459 0.7500
Cs 0.3541 0.9670 0.7500
Cs 0.6459 0.0330 0.2500
Cs 0.9670 0.3541 0.2500
Hg 0.0996 0.9004 0.2500
Hg 0.3733 0.3733 0.0000
Hg 0.3733 0.3733 0.5000
Hg 0.6267 0.6267 0.0000
Hg 0.6267 0.6267 0.5000
Hg 0.9004 0.0996 0.7500
Pt 0.3437 0.6563 0.2500
Pt 0.6563 0.3437 0.7500

*x*
First-principles (PBE) data for Cs2Hg3Pt after structural relaxation, as listed in Alexandria via LeMat-Bulk.

Results
M_tot, μB/atom: 0.000

Unit cell a=6.6633 b=13.1731 c=4.7216 alpha=90.00 beta=90.00 gamma=90.00
Fractional coordinates of all 12 atoms:
Cs 0.2233 0.2050 0.0000
Cs 0.2767 0.7050 0.5000
Cs 0.7233 0.2950 0.5000
Cs 0.7767 0.7950 0.0000
Hg 0.0000 0.0000 0.5000
Hg 0.2034 0.4284 0.5000
Hg 0.2966 0.9284 0.0000
Hg 0.5000 0.5000 0.0000
Hg 0.7034 0.0716 0.0000
Hg 0.7966 0.5716 0.5000
Pt 0.0000 0.5000 0.0000
Pt 0.5000 0.0000 0.5000

Most stable one: *w*, least stable one: *x*.